1.
! TaGaNi2H GGA-PBE relaxed; values from VASP
! Space group   No. 123
! Uncorrected energy   -6.088 eV/atom
! ρ   10.773 g cm⁻³
&SYSTEM
  ibrav = 0, nat = 5, ntyp = 4
/
ATOMIC_SPECIES
Ga 69.72 Ga.upf
H 1.01 H.upf
Ni 58.69 Ni.upf
Ta 180.95 Ta.upf
ATOMIC_POSITIONS crystal
Ga 0.500 0.500 0.500
H 0.000 0.000 0.000
Ni 0.000 0.500 0.000
Ni 0.500 0.000 0.000
Ta 0.000 0.000 0.500
CELL_PARAMETERS angstrom
3.740 0.000 0.000
0.000 3.740 0.000
0.000 0.000 4.068



2.
! ZnRe2AsRh GGA-PBE relaxed; values from VASP
! Space group   No. 123
! ρ   11.145 g cm⁻³
! Energy of formation   1.52 eV per atom
&SYSTEM
  ibrav = 0, nat = 5, ntyp = 4
/
ATOMIC_SPECIES
As 74.92 As.upf
Re 186.21 Re.upf
Zn 65.41 Zn.upf
Rh 102.91 Rh.upf
ATOMIC_POSITIONS crystal
As 0.000 0.000 0.000
Re 0.500 0.000 0.000
Zn 0.000 0.500 0.000
Re 0.000 0.000 0.500
Rh 0.500 0.500 0.500
CELL_PARAMETERS angstrom
-3.259 -1.521 2.750
2.329 -3.760 0.679
2.080 1.926 3.530



3.
! Tm2PuTl GGA-PBE relaxed; values from VASP
! Space group   No. 166
! ρ   11.587 g cm⁻³
! Offset from the most stable computed form   18.1 kJ/mol of formula units
! Energy of formation   -0.03 eV per atom
&SYSTEM
  ibrav = 0, nat = 4, ntyp = 3
/
ATOMIC_SPECIES
Tl 204.38 Tl.upf
Tm 168.93 Tm.upf
Pu 244.00 Pu.upf
ATOMIC_POSITIONS crystal
Tl 0.000 0.000 0.000
Tm 0.748 0.748 0.757
Tm 0.252 0.252 0.243
Pu 0.500 0.500 0.500
CELL_PARAMETERS angstrom
3.469 0.000 0.000
1.735 3.004 0.000
1.735 1.001 10.812



4.
! In2HgPd2 GGA-PBE relaxed; values from VASP
! Space group   No. 127
! ρ   10.744 g cm⁻³
! Offset from the most stable computed form   46.4 kJ/mol of formula units
! Energy of formation   -0.28 eV per atom
&SYSTEM
  ibrav = 0, nat = 10, ntyp = 3
/
ATOMIC_SPECIES
Hg 200.59 Hg.upf
Pd 106.42 Pd.upf
In 114.82 In.upf
ATOMIC_POSITIONS crystal
Hg 0.500 0.500 0.000
Hg 0.000 0.000 0.000
Pd 0.638 0.862 0.500
Pd 0.862 0.362 0.500
In 0.656 0.156 0.000
Pd 0.362 0.138 0.500
In 0.344 0.844 0.000
Pd 0.138 0.638 0.500
In 0.156 0.344 0.000
In 0.844 0.656 0.000
CELL_PARAMETERS angstrom
-5.894 0.146 -5.314
-4.896 -3.241 5.342
-0.823 2.880 0.992



5.
! Ac5CuTe8 GGA-PBE relaxed; values from VASP
! Space group   No. 82
! ρ   7.575 g cm⁻³
! Formation energy without anion corrections   -1.356 eV/atom
&SYSTEM
  ibrav = 0, nat = 14, ntyp = 3
/
ATOMIC_SPECIES
Ac 227.00 Ac.upf
Te 127.60 Te.upf
Cu 63.55 Cu.upf
ATOMIC_POSITIONS crystal
Ac 0.869 0.878 0.243
Ac 0.757 0.626 0.635
Te 0.486 0.599 0.245
Te 0.990 0.137 0.725
Te 0.588 0.863 0.853
Te 0.114 0.760 0.514
Cu 0.250 0.500 0.750
Te 0.755 0.240 0.354
Te 0.147 0.735 0.010
Te 0.646 0.401 0.886
Ac 0.009 0.374 0.131
Te 0.275 0.265 0.412
Ac 0.500 0.000 0.500
Ac 0.365 0.122 0.991
CELL_PARAMETERS angstrom
8.584 -0.062 0.106
-2.963 8.057 -0.106
-2.659 -4.104 7.056



6.
! Ce GGA-PBE relaxed; values from VASP
! Space group   No. 191
! ρ   8.900 g cm⁻³
! Offset from the most stable computed form   11.6 kJ/mol of formula units
! Energy of formation   0.12 eV per atom
&SYSTEM
  ibrav = 0, nat = 3, ntyp = 1
/
ATOMIC_SPECIES
Ce 140.12 Ce.upf
ATOMIC_POSITIONS crystal
Ce 0.500 0.333 0.667
Ce 0.500 0.667 0.333
Ce 0.000 0.000 0.000
CELL_PARAMETERS angstrom
3.196 0.000 0.000
0.000 5.322 0.001
0.000 -2.658 4.610



7.
! Pr5SmEr2Th GGA-PBE relaxed; values from VASP
! Space group   No. 36
! ρ   7.493 g cm⁻³
! Energy of formation   0.16 eV per atom
&SYSTEM
  ibrav = 0, nat = 18, ntyp = 4
/
ATOMIC_SPECIES
Er 167.26 Er.upf
Th 232.04 Th.upf
Pr 140.91 Pr.upf
Sm 150.36 Sm.upf
ATOMIC_POSITIONS crystal
Er 0.885 0.769 0.809
Th 0.199 0.398 0.012
Pr 0.292 0.584 0.704
Sm 0.594 0.187 0.956
Th 0.801 0.602 0.512
Er 0.113 0.226 0.740
Pr 0.616 0.233 0.525
Pr 0.708 0.416 0.204
Pr 0.276 0.553 0.314
Pr 0.384 0.767 0.025
Pr 0.014 0.028 0.019
Pr 0.724 0.447 0.814
Pr 0.518 0.036 0.245
Sm 0.406 0.813 0.456
Pr 0.482 0.964 0.745
Er 0.115 0.231 0.309
Pr 0.986 0.972 0.519
Er 0.887 0.774 0.240
CELL_PARAMETERS angstrom
5.701 0.000 0.000
-2.851 10.344 0.000
0.000 0.000 10.683



8.
! Pm5Er2Ru4 GGA-PBE relaxed; values from VASP
! Space group   No. 12
! ρ   8.086 g cm⁻³
! Energy of formation   0.08 eV per atom
&SYSTEM
  ibrav = 0, nat = 11, ntyp = 3
/
ATOMIC_SPECIES
Er 167.26 Er.upf
Ru 101.07 Ru.upf
Pm 145.00 Pm.upf
ATOMIC_POSITIONS crystal
Er 0.736 0.716 0.472
Ru 0.997 0.315 0.993
Ru 0.563 0.562 0.125
Er 0.264 0.284 0.528
Ru 0.003 0.685 0.007
Pm 0.121 0.375 0.242
Pm 0.879 0.625 0.758
Pm 0.500 0.000 0.000
Ru 0.437 0.438 0.875
Pm 0.873 0.135 0.746
Pm 0.127 0.865 0.254
CELL_PARAMETERS angstrom
-2.585 -1.443 2.515
-4.345 -1.429 -5.287
8.068 -8.580 0.371



9.
! PaHgTe GGA-PBE relaxed; values from VASP
! Space group   No. 156
! ρ   11.017 g cm⁻³
! Offset from the most stable computed form   82.6 kJ/mol of formula units
! Formation energy without anion corrections   -0.132 eV/atom
&SYSTEM
  ibrav = 0, nat = 3, ntyp = 3
/
ATOMIC_SPECIES
Hg 200.59 Hg.upf
Te 127.60 Te.upf
Pa 231.04 Pa.upf
ATOMIC_POSITIONS crystal
Hg 0.000 0.000 0.005
Te 0.333 0.667 0.646
Pa 0.667 0.333 0.349
CELL_PARAMETERS angstrom
3.603 0.000 0.000
-1.802 3.121 0.000
0.000 0.000 7.496



10.
! ZrMo2Pt GGA-PBE relaxed; values from VASP
! Space group   No. 65
! ρ   11.584 g cm⁻³
! Offset from the most stable computed form   92.3 kJ/mol of formula units
! Energy of formation   -0.03 eV per atom
&SYSTEM
  ibrav = 0, nat = 4, ntyp = 3
/
ATOMIC_SPECIES
Zr 91.22 Zr.upf
Mo 95.94 Mo.upf
Pt 195.08 Pt.upf
ATOMIC_POSITIONS crystal
Zr 0.500 0.500 0.750
Mo 0.000 0.000 0.479
Mo 0.000 0.000 0.021
Pt 0.500 0.500 0.250
CELL_PARAMETERS angstrom
2.776 0.001 0.000
-0.287 2.761 0.000
0.000 0.000 8.943



11.
! CsMg14W GGA-PBE relaxed; values from VASP
! Space group   No. 38
! ρ   2.853 g cm⁻³
! Offset from the most stable computed form   47.8 kJ/mol of formula units
! Energy of formation   0.35 eV per atom
&SYSTEM
  ibrav = 0, nat = 16, ntyp = 3
/
ATOMIC_SPECIES
Mg 24.30 Mg.upf
Cs 132.91 Cs.upf
W 183.84 W.upf
ATOMIC_POSITIONS crystal
Mg 0.179 0.821 0.273
Mg 0.842 0.158 0.000
Mg 0.307 0.180 0.500
Mg 0.847 0.673 0.000
Cs 0.800 0.200 0.500
Mg 0.184 0.342 0.748
Mg 0.665 0.335 0.780
Mg 0.327 0.153 0.000
Mg 0.658 0.816 0.252
Mg 0.184 0.342 0.252
W 0.346 0.654 0.500
Mg 0.340 0.660 0.000
Mg 0.665 0.335 0.220
Mg 0.658 0.816 0.748
Mg 0.179 0.821 0.727
Mg 0.820 0.693 0.500
CELL_PARAMETERS angstrom
-5.072 3.305 2.188
3.213 -3.940 3.948
6.428 8.025 2.779



12.
! KRbIn4Au8 GGA-PBE relaxed; values from VASP
! Space group   No. 97
! ρ   10.586 g cm⁻³
! Energy of formation   -0.27 eV per atom
&SYSTEM
  ibrav = 0, nat = 14, ntyp = 4
/
ATOMIC_SPECIES
In 114.82 In.upf
Au 196.97 Au.upf
Rb 85.47 Rb.upf
K 39.10 K.upf
ATOMIC_POSITIONS crystal
In 0.393 0.607 0.500
Au 0.573 0.062 0.804
Au 0.742 0.938 0.511
Rb 0.500 0.500 0.000
Au 0.062 0.258 0.489
K 0.000 0.000 0.000
In 0.607 0.107 0.214
In 0.893 0.393 0.786
Au 0.938 0.427 0.196
In 0.107 0.893 0.500
Au 0.232 0.742 0.804
Au 0.427 0.232 0.489
Au 0.768 0.573 0.511
Au 0.258 0.768 0.196
CELL_PARAMETERS angstrom
-1.237 -7.308 -1.734
-0.402 1.341 7.482
-5.380 4.161 -3.418